Entry from Alexandria: an optimized crystal structure of AcTl2P2O6 (GGA-PBE).

Calculated values
The calculation puts the uncorrected formation energy at -21.60 eV per formula unit. Its symmetry is C2/m, No. 12. The calculation puts the uncorrected energy at -6.46 eV/atom.

abc: 6.1791 6.1791 8.1825
angles: 121.79 121.79 60.78
Last column: nearest neighbours and their distance in Å.
Positions (direct):
Ac (0.0000, 0.0000, 0.0000)  6 O 2.50-2.51
Tl (0.1934, 0.1934, 0.6790)  1 P 2.96, 4 O 3.02-3.24, 1 Tl 3.29
Tl (0.8066, 0.8066, 0.3210)  1 P 2.96, 4 O 3.02-3.24, 1 Tl 3.29
P (0.4006, 0.4006, 0.1357)  3 O 1.56-1.57
P (0.5994, 0.5994, 0.8643)  3 O 1.56-1.57
O (0.2874, 0.6966, 0.7855)  1 P 1.57
O (0.2951, 0.2951, 0.2084)  1 P 1.56
O (0.3034, 0.7126, 0.2145)  1 P 1.57
O (0.6966, 0.2874, 0.7855)  1 P 1.57
O (0.7049, 0.7049, 0.7916)  1 P 1.56
O (0.7126, 0.3034, 0.2145)  1 P 1.57